# Sr2HgRhO4 | the Alexandria database | PBE | optimized geometry
# Raw total energy: -5.3515 eV/atom
# ΔE_f (raw): -1495 meV/atom
# Size of the total moment: 2.06 μB/cell
# DOS(E_F): 3.0 states/eV/f.u.
data_Sr2HgRhO4
_space_group_name_H-M_alt 'C 1 2/m 1'
_space_group_IT_number 12
_cell_length_a 9.043
_cell_length_b 3.407
_cell_length_c 9.519
_cell_angle_alpha 90.00
_cell_angle_beta 95.88
_cell_angle_gamma 90.00
loop_
_space_group_symop_operation_xyz
'x,y,z'
'-x,-y,-z'
'-x,y,-z'
'x,-y,z'
'x+1/2,y+1/2,z'
'-x+1/2,-y+1/2,-z'
'-x+1/2,y+1/2,-z'
'x+1/2,-y+1/2,z'
loop_
_atom_site_label
_atom_site_type_symbol
_atom_site_fract_x
_atom_site_fract_y
_atom_site_fract_z
Sr1 Sr 0.238 0.000 0.302
Hg1 Hg 0.000 0.500 0.000
Rh1 Rh 0.000 0.000 0.500
O1 O 0.069 0.000 0.709
O2 O 0.127 0.500 0.463